Below is a geometry-optimized EuThSbAu structure, with properties calculated at the GGA-PBE level.

Cell lengths 5.3920, 5.3920, 5.3920 Å; angles 60.00, 60.00, 60.00 degrees
Last column: nearest neighbours and their distance in Å.
Atoms (fractional coordinates):
Eu 0.2500 0.2500 0.2500  4 Sb 3.30, 4 Au 3.30
Th 0.7500 0.7500 0.7500  4 Au 3.30, 4 Sb 3.30
Sb 0.5000 0.5000 0.5000  4 Th 3.30, 4 Eu 3.30
Au 0.0000 0.0000 0.0000  4 Th 3.30, 4 Eu 3.30

Summary:
ΔE_f (raw) ... -676 meV per atom
D(E_F) ... 4.3 states/eV/cell

Below is a geometry-optimized Pr2Zn2InPd5 structure, with properties calculated at the GGA-PBE level.

Cell lengths 3.8384, 9.9726, 9.9726 Å; angles 90.00, 90.00, 90.00 degrees
Last column: nearest neighbours and their distance in Å.
Atoms (fractional coordinates):
Zn 0.0000 0.3816 0.1184  6 Pd 2.54-2.63
Zn 0.0000 0.6184 0.8816  6 Pd 2.54-2.63
Zn 0.0000 0.8816 0.3816  6 Pd 2.54-2.63
Zn 0.0000 0.1184 0.6184  6 Pd 2.54-2.63
In 0.0000 0.0000 0.0000  8 Pd 2.91
In 0.0000 0.5000 0.5000  8 Pd 2.91
Pr 0.0000 0.3220 0.8220  3 Zn 2.87-3.02, 2 Pd 3.16
Pr 0.0000 0.6780 0.1780  3 Zn 2.87-3.02, 2 Pd 3.16
Pr 0.0000 0.1780 0.3220  3 Zn 2.87-3.02, 2 Pd 3.16
Pr 0.0000 0.8220 0.6780  3 Zn 2.87-3.02, 2 Pd 3.16
Pd 0.5000 0.2103 0.0646  2 Zn 2.63, 2 In 2.91
Pd 0.5000 0.0000 0.5000  4 Zn 2.54
Pd 0.5000 0.2897 0.5646  2 Zn 2.63, 2 In 2.91
Pd 0.5000 0.4354 0.2897  2 Zn 2.63, 2 In 2.91
Pd 0.5000 0.5000 0.0000  4 Zn 2.54
Pd 0.5000 0.0646 0.7897  2 Zn 2.63, 2 In 2.91
Pd 0.5000 0.7103 0.4354  2 Zn 2.63, 2 In 2.91
Pd 0.5000 0.9354 0.2103  2 Zn 2.63, 2 In 2.91
Pd 0.5000 0.7897 0.9354  2 Zn 2.63, 2 In 2.91
Pd 0.5000 0.5646 0.7103  2 Zn 2.63, 2 In 2.91

Summary:
Total energy ... -94.73 eV for the cell shown
D(E_F) ... 9.4 states/eV/cell

Below is a geometry-optimized PmCdSnGe structure, with properties calculated at the GGA-PBE level.

Cell lengths 5.1986, 5.1986, 5.1986 Å; angles 60.00, 60.00, 60.00 degrees
Last column: nearest neighbours and their distance in Å.
Atoms (fractional coordinates):
Ge 0.2500 0.2500 0.2500  4 Cd 3.18, 4 Pm 3.18
Cd 0.5000 0.5000 0.5000  4 Sn 3.18, 4 Ge 3.18
Sn 0.7500 0.7500 0.7500  4 Cd 3.18, 4 Pm 3.18
Pm 0.0000 0.0000 0.0000  4 Ge 3.18, 4 Sn 3.18

Summary:
Relative energy among the computed polymorphs ... 0.2640 eV/atom
D(E_F) ... 3.0 states/eV/cell

no.,ρ (g/cm³)
1,10.53
2,9.22
3,7.50